The following is a DFT calculation (PBE-GGA) of Fe2Ir after structural relaxation.

Calculated values
crystal system: cubic
symmetry: Fd-3m, No. 227
uncorrected energy: -37.17 eV/cell
ΔH_f (0 K): 2.295 eV/atom

Lattice parameters (Å, degrees): 7.5688 7.5688 7.5688 60.00 60.00 60.00
Last column: magnetic moment on the atom in μB.
Sites, in units of the cell vectors:
Fe 0.3750 0.3750 0.8750  3.04
Fe 0.3750 0.8750 0.3750  3.05
Fe 0.3750 0.3750 0.3750  3.08
Ir 0.2500 0.2500 0.2500  0.37
Ir 0.5000 0.5000 0.5000  0.37
Fe 0.8750 0.3750 0.3750  3.37


The following is a DFT calculation (PBE-GGA) of K2In4Cu4S9 after structural relaxation.

Calculated values
crystal system: monoclinic
symmetry: C2/m, No. 12
uncorrected energy: -75.22 eV/cell

Lattice parameters (Å, degrees): 7.1145 7.1145 15.8861 107.73 107.73 31.65
Sites, in units of the cell vectors:
S 0.3807 0.3807 0.8715
S 0.8620 0.8620 0.0680
S 0.6519 0.6519 0.7237
Cu 0.2442 0.2442 0.7314
Cu 0.7558 0.7558 0.2686
S 0.7096 0.7096 0.3996
In 0.2348 0.2348 0.1038
In 0.7652 0.7652 0.8962
In 0.6515 0.6515 0.5472
S 0.0000 0.0000 0.5000
S 0.2904 0.2904 0.6004
K 0.0311 0.0311 0.2758
Cu 0.4515 0.4515 0.0577
K 0.9689 0.9689 0.7242
Cu 0.5485 0.5485 0.9423
S 0.1380 0.1380 0.9320
S 0.6193 0.6193 0.1285
In 0.3485 0.3485 0.4528
S 0.3481 0.3481 0.2763


The following is a DFT calculation (PBE-GGA) of CsCuPtSe3 after structural relaxation.

Calculated values
crystal system: orthorhombic
symmetry: Cmcm, No. 63
uncorrected energy: -47.84 eV/cell

Lattice parameters (Å, degrees): 8.0564 8.0564 10.4381 90.00 90.00 152.10
Sites, in units of the cell vectors:
Pt 0.5000 0.5000 0.5000
Cu 0.0419 0.9581 0.2500
Se 0.4504 0.5496 0.2500
Se 0.1029 0.8971 0.4636
Se 0.5496 0.4504 0.7500
Cs 0.2511 0.7489 0.7500
Cs 0.7489 0.2511 0.2500
Pt 0.5000 0.5000 0.0000
Se 0.1029 0.8971 0.0364
Se 0.8971 0.1029 0.5364
Cu 0.9581 0.0419 0.7500
Se 0.8971 0.1029 0.9636